#one
VASP calculation (GGA-PBE) on a relaxed ZrAg3O crystal.

```
ZrAg3O
1.0
5.350 0.000 0.000
0.000 5.350 0.000
0.000 0.000 5.350
Zr Ag O
1 3 1
direct
0.000 0.000 0.000
0.000 0.000 0.500
0.000 0.500 0.000
0.500 0.000 0.000
0.500 0.500 0.500
```

Summary:
Its space-group type is Pm-3m.


#two
VASP calculation (GGA-PBE) on a relaxed ZrAg3O crystal.

```
ZrAg3O
1.0
4.512 0.000 0.000
0.000 4.512 0.000
0.000 0.000 4.512
Zr Ag O
1 3 1
direct
0.000 0.000 0.000
0.000 0.500 0.500
0.500 0.000 0.500
0.500 0.500 0.000
0.500 0.500 0.500
```

Summary:
Its space-group type is Pm-3m.


Pick the most stable structure from those above. Pick: #two